No. 1
Entry from the Alexandria database: an optimized crystal structure of K2CaPdO4 (PBE-GGA).

```
data_K2CaPdO4
_cell_length_a 6.130
_cell_length_b 13.752
_cell_length_c 21.823
_cell_angle_alpha 90.00
_cell_angle_beta 90.00
_cell_angle_gamma 90.00
_space_group_name_H-M_alt 'F d d d'
_space_group_IT_number 70
loop_
_space_group_symop_operation_xyz
'x,y,z'
'-x,-y,-z'
'-x+1/4,-y+1/4,z'
'x+1/4,y+1/4,-z'
'x,-y+1/4,-z+1/4'
'-x,y+1/4,z+1/4'
'-x+1/4,y,-z+1/4'
'x+1/4,-y,z+1/4'
'x,y+1/2,z+1/2'
'-x,-y+1/2,-z+1/2'
'-x+1/4,-y+3/4,z+1/2'
'x+1/4,y+3/4,-z+1/2'
'x,-y+3/4,-z+3/4'
'-x,y+3/4,z+3/4'
'-x+1/4,y+1/2,-z+3/4'
'x+1/4,-y+1/2,z+3/4'
'x+1/2,y,z+1/2'
'-x+1/2,-y,-z+1/2'
'-x+3/4,-y+1/4,z+1/2'
'x+3/4,y+1/4,-z+1/2'
'x+1/2,-y+1/4,-z+3/4'
'-x+1/2,y+1/4,z+3/4'
'-x+3/4,y,-z+3/4'
'x+3/4,-y,z+3/4'
'x+1/2,y+1/2,z'
'-x+1/2,-y+1/2,-z'
'-x+3/4,-y+3/4,z'
'x+3/4,y+3/4,-z'
'x+1/2,-y+3/4,-z+1/4'
'-x+1/2,y+3/4,z+1/4'
'-x+3/4,y+1/2,-z+1/4'
'x+3/4,-y+1/2,z+1/4'
loop_
_atom_site_label
_atom_site_fract_x
_atom_site_fract_y
_atom_site_fract_z
_atom_site_occupancy
K1 0.125 0.125 0.322 1
Ca1 0.125 0.125 0.125 1
Pd1 0.125 0.125 0.625 1
O1 0.099 0.274 0.862 1
```

Results
spin magnetization: 16.1 μB/cell
formation energy without anion corrections: -1.1101 eV/atom
calculated volume: 1840 Å³/cell

---

No. 2
Entry from the Alexandria database: an optimized crystal structure of SrTlRe2 (PBE-GGA).

```
data_SrTlRe2
_cell_length_a 3.450
_cell_length_b 4.732
_cell_length_c 4.990
_cell_angle_alpha 90.00
_cell_angle_beta 90.00
_cell_angle_gamma 90.00
_space_group_name_H-M_alt 'P m m m'
_space_group_IT_number 47
loop_
_space_group_symop_operation_xyz
'x,y,z'
'-x,-y,-z'
'-x,-y,z'
'x,y,-z'
'x,-y,-z'
'-x,y,z'
'-x,y,-z'
'x,-y,z'
loop_
_atom_site_label
_atom_site_fract_x
_atom_site_fract_y
_atom_site_fract_z
_atom_site_occupancy
Sr1 0.000 0.000 0.000 1
Tl1 0.500 0.500 0.000 1
Re1 0.000 0.500 0.500 1
Re2 0.500 0.000 0.500 1
```

Results
spin magnetization: 0.0 μB/cell
energy above the lowest structure with this stoichiometry: 875 meV per atom
calculated volume: 81 Å³/cell

---

- Number 2 is which compound?
  SrTlRe2

---

- Which formula does entry 2 have?
  SrTlRe2

---

- What is the spin magnetization in the first record?
  16.1 μB/cell